(1)
EuGaSn2: relaxed, GGA-PBE.

Unit cell a=4.9002 b=4.9002 c=6.0659 alpha=66.18 beta=66.18 gamma=60.00
Positions (direct):
Eu (0.5000, 0.5000, 0.5000)
Sn (0.2820, 0.2820, 0.1540)
Sn (0.7180, 0.7180, 0.8460)
Ga (0.0000, 0.0000, 0.0000)

Summary:
SG: No. 166


(2)
Pm15DyTm4: relaxed, GGA-PBE.

Unit cell a=5.1123 b=5.1123 c=25.4517 alpha=90.00 beta=90.00 gamma=90.00
Positions (direct):
Tm (0.0000, 0.0000, 0.2003)
Tm (0.0000, 0.0000, 0.7997)
Tm (0.0000, 0.0000, 0.4000)
Tm (0.0000, 0.0000, 0.6000)
Pm (0.5000, 0.0000, 0.5000)
Pm (0.5000, 0.5000, 0.6000)
Pm (0.5000, 0.0000, 0.8996)
Pm (0.0000, 0.5000, 0.6999)
Pm (0.5000, 0.5000, 0.4000)
Pm (0.5000, 0.0000, 0.6999)
Pm (0.5000, 0.0000, 0.1004)
Pm (0.5000, 0.5000, 0.0000)
Pm (0.5000, 0.5000, 0.7997)
Pm (0.5000, 0.5000, 0.2003)
Pm (0.0000, 0.5000, 0.1004)
Pm (0.0000, 0.5000, 0.5000)
Pm (0.0000, 0.5000, 0.3001)
Pm (0.5000, 0.0000, 0.3001)
Pm (0.0000, 0.5000, 0.8996)
Dy (0.0000, 0.0000, 0.0000)

Summary:
SG: No. 123


(3)
K2SrLiCl5: relaxed, GGA-PBE.

Unit cell a=4.3161 b=9.3277 c=13.7431 alpha=90.00 beta=90.00 gamma=103.38
Positions (direct):
Sr (0.8002, 0.6004, 0.5339)
Sr (0.1998, 0.3996, 0.0339)
Cl (0.7100, 0.4200, 0.1761)
Cl (0.3151, 0.6301, 0.3922)
Cl (0.4950, 0.9900, 0.7738)
Cl (0.9594, 0.9189, 0.5072)
Cl (0.6446, 0.2893, 0.5092)
Cl (0.5050, 0.0100, 0.2738)
Cl (0.0406, 0.0811, 0.0072)
Cl (0.3554, 0.7107, 0.0092)
Cl (0.6849, 0.3699, 0.8922)
Cl (0.2900, 0.5800, 0.6761)
Li (0.5500, 0.1001, 0.9255)
Li (0.4500, 0.8999, 0.4255)
K (0.8746, 0.7492, 0.8383)
K (0.9064, 0.8128, 0.1676)
K (0.0936, 0.1872, 0.6676)
K (0.1254, 0.2508, 0.3383)

Summary:
SG: No. 36
Formation energy (no corrections) in meV per atom: -2091


no.,total DFT energy (no corrections) (eV/atom)
1,-5.623
2,-4.675
3,-3.760